The following is a DFT calculation (PBE) of a relaxed structure of TmSiNi2H.

a b c (Å): 3.6837 5.3711 6.6784
angles (deg): 90.00 90.00 110.06
Fractional positions:
Si 0.2762 0.5524 0.2500
Si 0.7238 0.4476 0.7500
Tm 0.5589 0.1179 0.2500
Tm 0.4411 0.8821 0.7500
Ni 0.8362 0.6724 0.0572
Ni 0.1638 0.3276 0.9428
Ni 0.8362 0.6724 0.4428
Ni 0.1638 0.3276 0.5572
H 0.0000 0.0000 0.5000
H 0.0000 0.0000 0.0000

Properties
Total moment (Bohr magnetons per cell): 0.00
Space-group type: Cmcm (63)
DOS at the Fermi energy (states/eV/atom): 0.3068
Crystal system: orthorhombic
Energy (eV/atom): -5.6938